Run a
This record from Alexandria describes a relaxed TlInSi2 crystal. The functional is PBE-GGA.

- Magnetization: 0.000 μB/atom
- Crystal system: cubic

Cell: 5.0038 5.0038 5.0038 Å, 60.00 60.00 60.00°
Closest atoms and distances in Å follow each position.
Fractional coordinates of all 4 atoms:
Tl 0.0000 0.0000 0.0000  4 In 3.06, 4 Si 3.06
In 0.7500 0.7500 0.7500  4 Si 3.06, 4 Tl 3.06
Si 0.2500 0.2500 0.2500  4 Tl 3.06, 4 Si 3.06
Si 0.5000 0.5000 0.5000  4 In 3.06, 4 Si 3.06

=====

Run b
This record from Alexandria describes a relaxed TlInSi2 crystal. The functional is PBE-GGA.

- Magnetization: 0.000 μB/atom
- Crystal system: cubic

Cell: 5.0206 5.0206 5.0206 Å, 60.00 60.00 60.00°
Closest atoms and distances in Å follow each position.
Fractional coordinates of all 4 atoms:
Tl 0.0000 0.0000 0.0000  8 Si 3.07
In 0.5000 0.5000 0.5000  8 Si 3.07
Si 0.2500 0.2500 0.2500  4 Tl 3.07, 4 In 3.07
Si 0.7500 0.7500 0.7500  4 Tl 3.07, 4 In 3.07

=====

Run c
This record from Alexandria describes a relaxed TlInSi2 crystal. The functional is PBE-GGA.

- Magnetization: 0.000 μB/atom
- Crystal system: tetragonal

Cell: 7.4980 7.4980 7.4980 Å, 131.60 131.60 70.86°
Closest atoms and distances in Å follow each position.
Fractional coordinates of all 8 atoms:
Tl 0.0000 0.0000 0.0000  4 Si 2.68
Tl 0.7500 0.2500 0.5000  4 Si 2.68
In 0.2500 0.7500 0.5000  4 Si 2.63
In 0.5000 0.5000 0.0000  4 Si 2.63
Si 0.1312 0.6250 0.0062  2 In 2.63, 2 Tl 2.68
Si 0.3750 0.3812 0.5062  2 In 2.63, 2 Tl 2.68
Si 0.6188 0.1250 0.9938  2 In 2.63, 2 Tl 2.68
Si 0.8750 0.8688 0.4938  2 In 2.63, 2 Tl 2.68

=====

Least stable = run a